[1]
ScFe3Os | PBE | optimized geometry

CIF file:
```
data_ScFe3Os
_chemical_formula_sum 'Sc1 Fe3 Os1'
_space_group_name_H-M_alt 'P -6 m 2'
_space_group_IT_number 187
_space_group_name_Hall 'P -6 2'
_cell_length_a 4.9555
_cell_length_b 4.9555
_cell_length_c 3.5155
_cell_angle_alpha 90.00
_cell_angle_beta 90.00
_cell_angle_gamma 120.00
loop_
_atom_site_label
_atom_site_fract_x
_atom_site_fract_y
_atom_site_fract_z
Sc1 0.0000 0.0000 0.0000
Fe1 0.0319 0.5160 0.5000
Os1 0.6667 0.3333 0.0000
```

Computed properties:
**E_form**: 0.234 eV/atom
**M_tot**: 1.84 μB per formula unit

---

[2]
ScFeOs2 | PBE | optimized geometry

CIF file:
```
data_ScFeOs2
_chemical_formula_sum 'Sc4 Fe4 Os8'
_space_group_name_H-M_alt 'F -4 3 m'
_space_group_IT_number 216
_space_group_name_Hall 'F -4 2 3'
_cell_length_a 6.190
_cell_length_b 6.190
_cell_length_c 6.190
_cell_angle_alpha 90.00
_cell_angle_beta 90.00
_cell_angle_gamma 90.00
loop_
_atom_site_label
_atom_site_fract_x
_atom_site_fract_y
_atom_site_fract_z
Sc1 0.000 0.000 0.000
Fe1 0.250 0.250 0.750
Os1 0.000 0.000 0.500
Os2 0.250 0.250 0.250
```

Computed properties:
**E_form**: 0.042 eV/atom
**M_tot**: 2.71 μB per formula unit

---

[3]
Sr2FeOsSe6 | PBE | optimized geometry

CIF file:
```
data_Sr2FeOsSe6
_chemical_formula_sum 'Sr2 Fe1 Os1 Se6'
_space_group_name_H-M_alt 'P -1'
_space_group_IT_number 2
_space_group_name_Hall '-P 1'
_cell_length_a 6.529
_cell_length_b 6.592
_cell_length_c 6.820
_cell_angle_alpha 67.47
_cell_angle_beta 65.16
_cell_angle_gamma 66.76
loop_
_atom_site_label
_atom_site_fract_x
_atom_site_fract_y
_atom_site_fract_z
Sr1 0.247 0.257 0.242
Fe1 0.000 0.000 0.000
Os1 0.500 0.500 0.500
Se1 0.168 0.747 0.329
Se2 0.248 0.661 0.834
Se3 0.335 0.163 0.722
```

Computed properties:
**M_tot**: 2.94 μB per formula unit
**Energy**: -5.0379 eV/atom

---

| no. | calculated volume (Å³ per atom) | theoretical density (Mg/m³) |
| --- | --- | --- |
| 1 | 14.96 | 8.9 |
| 2 | 14.82 | 13.5 |
| 3 | 23.63 | 6.3 |